Entry 1:
DFT (PBE) results for an optimized crystal structure of Cs8Hg6F.

Cell: 9.699 9.699 9.699 Å, 74.85 74.85 74.85°
Fractional coordinates of all 15 atoms:
Cs1 0.365 0.365 0.365
Cs2 0.304 0.099 0.865
Cs3 0.696 0.901 0.135
Hg1 0.037 0.499 0.647
Cs4 0.865 0.304 0.099
Hg2 0.963 0.501 0.353
Hg3 0.499 0.647 0.037
Cs5 0.135 0.696 0.901
Cs6 0.635 0.635 0.635
Cs7 0.901 0.135 0.696
Hg4 0.501 0.353 0.963
F1 0.000 0.000 0.000
Cs8 0.099 0.865 0.304
Hg5 0.353 0.963 0.501
Hg6 0.647 0.037 0.499

Properties
calculated total energy: -1.20 eV/atom
total moment: 0.00 μB/f.u.
space group: R-3



Entry 2:
DFT (PBE) results for an optimized crystal structure of CsHgF3.

Cell: 8.607 8.607 8.607 Å, 60.00 60.00 60.00°
Fractional coordinates of all 20 atoms:
Cs1 0.625 0.125 0.125
Cs2 0.125 0.125 0.125
F1 0.545 0.545 0.955
Hg1 0.625 0.625 0.125
F2 0.955 0.545 0.955
Hg2 0.625 0.125 0.625
Hg3 0.625 0.625 0.625
Cs3 0.125 0.125 0.625
F3 0.705 0.705 0.295
F4 0.705 0.295 0.295
F5 0.955 0.545 0.545
Hg4 0.125 0.625 0.625
F6 0.295 0.705 0.705
F7 0.295 0.705 0.295
F8 0.295 0.295 0.705
F9 0.545 0.955 0.955
F10 0.705 0.295 0.705
F11 0.955 0.955 0.545
Cs4 0.125 0.625 0.125
F12 0.545 0.955 0.545

Properties
calculated total energy: -3.29 eV/atom
total moment: 0.00 μB/f.u.
space group: Fd-3m



Entry 3:
DFT (PBE) results for an optimized crystal structure of CsHgF3.

Cell: 4.400 4.400 14.464 Å, 90.00 90.00 120.00°
Fractional coordinates of all 10 atoms:
F1 0.000 0.000 0.250
F2 0.333 0.667 0.895
Cs1 0.000 0.000 0.000
F3 0.667 0.333 0.105
Hg1 0.333 0.667 0.750
F4 0.000 0.000 0.750
F5 0.333 0.667 0.605
Hg2 0.667 0.333 0.250
F6 0.667 0.333 0.395
Cs2 0.000 0.000 0.500

Properties
calculated total energy: -3.34 eV/atom
total moment: 0.00 μB/f.u.
space group: P6_3/mmc



Entry 4:
DFT (PBE) results for an optimized crystal structure of CsHg4F8.

Cell: 7.302 7.302 8.197 Å, 63.55 63.55 60.00°
Fractional coordinates of all 13 atoms:
F1 0.776 0.281 0.168
F2 0.776 0.776 0.168
F3 0.281 0.776 0.168
F4 0.224 0.224 0.832
Hg1 0.500 0.000 0.000
F5 0.719 0.224 0.832
Cs1 0.500 0.500 0.500
Hg2 0.000 0.500 0.000
F6 0.281 0.281 0.156
Hg3 0.500 0.500 0.000
F7 0.224 0.719 0.832
Hg4 0.000 0.000 0.000
F8 0.719 0.719 0.844

Properties
calculated total energy: -2.86 eV/atom
total moment: 0.00 μB/f.u.
space group: R-3m



Entry 5:
DFT (PBE) results for an optimized crystal structure of CsHgF2.

Cell: 4.993 4.993 4.993 Å, 60.00 60.00 60.00°
Site moments in Bohr magnetons follow the coordinates.
Fractional coordinates of all 4 atoms:
F1 0.750 0.750 0.750  0.15
Cs1 0.000 0.000 0.000  0.02
Hg1 0.500 0.500 0.500  0.33
F2 0.250 0.250 0.250  0.15

Properties
calculated total energy: -2.74 eV/atom
total moment: 0.82 μB/f.u.
space group: Fm-3m



Entry 6:
DFT (PBE) results for an optimized crystal structure of CsHgF3.

Cell: 19.676 8.223 8.223 Å, 154.00 152.54 27.46°
Fractional coordinates of all 10 atoms:
F1 0.752 0.314 0.686
F2 0.112 0.193 0.807
F3 0.248 0.686 0.314
F4 0.888 0.807 0.193
Hg1 0.647 0.008 0.992
F5 0.542 0.272 0.728
Hg2 0.353 0.992 0.008
Cs1 0.137 0.985 0.015
F6 0.458 0.728 0.272
Cs2 0.863 0.015 0.985

Properties
calculated total energy: -3.26 eV/atom
total moment: 0.00 μB/f.u.
space group: C2/m



Entry 7:
DFT (PBE) results for an optimized crystal structure of CsHgF3.

Cell: 3.674 7.258 7.258 Å, 114.97 90.00 90.00°
Fractional coordinates of all 5 atoms:
F1 0.000 0.236 0.764
F2 0.500 0.278 0.370
Hg1 0.000 0.416 0.584
Cs1 0.500 0.068 0.932
F3 0.500 0.630 0.722

Properties
calculated total energy: -3.22 eV/atom
total moment: 0.00 μB/f.u.
space group: Amm2



Entry 8:
DFT (PBE) results for an optimized crystal structure of Cs3Hg2F2.

Cell: 4.387 7.361 11.088 Å, 58.70 90.00 90.00°
Fractional coordinates of all 7 atoms:
F1 0.500 0.267 0.998
Cs1 0.000 0.000 0.000
F2 0.500 0.733 0.002
Hg1 0.000 0.745 0.441
Cs2 0.500 0.318 0.227
Cs3 0.500 0.682 0.773
Hg2 0.000 0.255 0.559

Properties
calculated total energy: -2.51 eV/atom
total moment: 0.00 μB/f.u.
space group: P2/m